No. 1
Material: FeAg2Ru
Method: DFT, GGA-PBEsol
State: relaxed

Calculated values
The calculation puts the density of states at the Fermi level at 0.716 states/eV/atom. The calculation puts the energy of formation at 0.526 eV per atom. The total DFT energy (no corrections) is -5.9134 eV/atom. The offset from the most stable computed form comes out at 0.1 kJ per mole of atoms.

abc: 3.374 4.007 4.327
angles: 90.00 90.00 90.00
Space group Pmmm (No. 47)
Unique sites:
1 Fe 0.000 0.000 0.000 x1
2 Ag 0.000 0.500 0.500 x1
3 Ag 0.500 0.000 0.500 x1
4 Ru 0.500 0.500 0.000 x1

=====

No. 2
Material: FeAgSb
Method: DFT, GGA-PBEsol
State: relaxed

Calculated values
The calculation puts the density of states at the Fermi level at 0.875 states/eV/atom. The total DFT energy (no corrections) is -5.1959 eV/atom. As for the formation energy without anion corrections: 414.8 meV/atom.

abc: 4.4120 4.4120 3.0690
angles: 90.00 90.00 120.00
Space group P3m1 (No. 156)
Unique sites:
1 Fe 0.0000 0.0000 0.0000 x1
2 Ag 0.6667 0.3333 0.4975 x1
3 Sb 0.3333 0.6667 0.9934 x1

=====

No. 3
Material: Fe2AgSb
Method: DFT, GGA-PBEsol
State: relaxed

Calculated values
The calculation puts the density of states at the Fermi level at 1.114 states/eV/atom. The total DFT energy (no corrections) is -6.1139 eV/atom. As for the formation energy without anion corrections: 335.0 meV/atom.

abc: 3.969 3.969 7.625
angles: 90.00 90.00 90.00
Space group I4/mmm (No. 139)
Unique sites:
1 Fe 0.000 0.500 0.250 x4
2 Ag 0.000 0.000 0.000 x2
3 Sb 0.000 0.000 0.500 x2

=====

No. 4
Material: Fe2AgSb
Method: DFT, GGA-PBEsol
State: relaxed

Calculated values
The calculation puts the density of states at the Fermi level at 1.011 states/eV/atom. The total DFT energy (no corrections) is -6.0518 eV/atom. As for the formation energy without anion corrections: 397.1 meV/atom.

abc: 3.294 3.312 5.581
angles: 90.00 90.00 90.00
Space group Pmmm (No. 47)
Unique sites:
1 Fe 0.000 0.000 0.235 x2
2 Ag 0.500 0.500 0.500 x1
3 Sb 0.500 0.500 0.000 x1